Record 1
PrAg2Au9: relaxed, PBE-GGA.

Values from the calculation:
DOS(E_F): 4.7 states/eV per cell
ΔE_f: -17.8 kJ/mol of atoms
total moment: 0.0 μB per formula unit
space group: R-3m, No. 166
uncorrected energy: -0.258 Ry per atom

The structure in POSCAR format:
```
PrAg2Au9
1.0
2.7712 1.6000 9.2321
-2.7712 1.6000 9.2321
0.0000 -3.2000 9.2321
Pr Ag Au
1 2 9
Direct
0.0000 0.0000 0.0000 Pr
0.1496 0.1496 0.1496 Ag
0.8504 0.8504 0.8504 Ag
0.0823 0.5878 0.5878 Au
0.3332 0.3332 0.3332 Au
0.4122 0.4122 0.9177 Au
0.4122 0.9177 0.4122 Au
0.5000 0.5000 0.5000 Au
0.5878 0.0823 0.5878 Au
0.5878 0.5878 0.0823 Au
0.6668 0.6668 0.6668 Au
0.9177 0.4122 0.4122 Au
```

=====

Record 2
RbMgUS4: relaxed, PBE-GGA.

Values from the calculation:
DOS(E_F): 10.8 states/eV per cell
formation energy from raw total energies: -1253 meV per atom
total moment: 1.0 μB per formula unit
space group: P2_1/m, No. 11
uncorrected energy: -0.411 Ry per atom

The structure in POSCAR format:
```
RbMgUS4
1.0
6.8126 0.0000 0.0000
0.0000 6.8830 0.0000
-1.5053 0.0000 8.4618
Rb Mg U S
2 2 2 8
Direct
0.1685 0.2500 0.0708 Rb
0.8315 0.7500 0.9292 Rb
0.3743 0.2500 0.6613 Mg
0.6257 0.7500 0.3387 Mg
0.1673 0.7500 0.4555 U
0.8327 0.2500 0.5445 U
0.1170 0.0017 0.6879 S
0.1170 0.4983 0.6879 S
0.2927 0.7500 0.1868 S
0.4712 0.2500 0.4048 S
0.5288 0.7500 0.5952 S
0.7073 0.2500 0.8132 S
0.8830 0.5017 0.3121 S
0.8830 0.9983 0.3121 S
```

=====

Record 3
HfCuBr2: relaxed, PBE-GGA.

Values from the calculation:
DOS(E_F): 2.3 states/eV per cell
formation energy from raw total energies: 142 meV per atom
ΔE to the lowest computed polymorph: 0.00 eV per formula unit
total moment: 0.8 μB per formula unit
space group: Fm-3m, No. 225
uncorrected energy: -0.309 Ry per atom

The structure in POSCAR format:
```
HfCuBr2
1.0
0.0000 3.3823 3.3823
3.3823 0.0000 3.3823
3.3823 3.3823 0.0000
Hf Cu Br
1 1 2
Direct
0.0000 0.0000 0.0000 Hf
0.5000 0.5000 0.5000 Cu
0.2500 0.2500 0.2500 Br
0.7500 0.7500 0.7500 Br
```

=====

Record 4
Al2Co2Ni: relaxed, PBE-GGA.

Values from the calculation:
DOS(E_F): 9.0 states/eV per cell
ΔE_f: -21.7 kJ/mol of atoms
ΔE to the lowest computed polymorph: 0.00 eV per formula unit
total moment: 0.5 μB per formula unit
space group: P4/mbm, No. 127
uncorrected energy: -0.420 Ry per atom

The structure in POSCAR format:
```
Al2Co2Ni
1.0
6.6691 0.0000 0.0000
0.0000 6.6691 0.0000
0.0000 0.0000 2.7536
Al Co Ni
4 4 2
Direct
0.1731 0.3269 0.0000 Al
0.3269 0.8269 0.0000 Al
0.6731 0.1731 0.0000 Al
0.8269 0.6731 0.0000 Al
0.1261 0.6261 0.5000 Co
0.3739 0.1261 0.5000 Co
0.6261 0.8739 0.5000 Co
0.8739 0.3739 0.5000 Co
0.0000 0.0000 0.5000 Ni
0.5000 0.5000 0.5000 Ni
```